Record 1
BeAu3Se | GGA-PBE | optimized geometry

* polymorph energy (0 for the lowest one): 600 meV/atom
* ρ: 8.81 g/cm3
* formation energy from raw total energies: 0.967 eV per atom

Unit cell a=5.0393 b=5.0393 c=5.0393 alpha=90.00 beta=90.00 gamma=90.00
Sites, in units of the cell vectors:
Be  0.0000  0.0000  0.0000
Au  0.0000  0.5000  0.5000
Au  0.5000  0.0000  0.5000
Au  0.5000  0.5000  0.0000
Se  0.5000  0.5000  0.5000


Record 2
BeAuSe2 | GGA-PBE | optimized geometry

* polymorph energy (0 for the lowest one): 674 meV/atom
* ρ: 8.31 g/cm3
* formation energy from raw total energies: 0.404 eV per atom

Unit cell a=3.0692 b=3.0692 c=7.7183 alpha=90.00 beta=90.00 gamma=90.00
Sites, in units of the cell vectors:
Be  0.0000  0.0000  0.0000
Au  0.0000  0.0000  0.5000
Se  0.5000  0.5000  0.1746
Se  0.5000  0.5000  0.8254


Record 3
BeAuSe2 | GGA-PBE | optimized geometry

* polymorph energy (0 for the lowest one): 691 meV/atom
* ρ: 8.23 g/cm3
* formation energy from raw total energies: 0.420 eV per atom

Unit cell a=5.7987 b=5.7987 c=3.4885 alpha=106.65 beta=106.65 gamma=126.11
Sites, in units of the cell vectors:
Be  0.0000  0.0000  0.0000
Au  0.5000  0.5000  0.0000
Se  0.0000  0.5000  0.0000
Se  0.5000  0.0000  0.0000


Record 4
BeAuSe2 | GGA-PBE | optimized geometry

* polymorph energy (0 for the lowest one): 727 meV/atom
* ρ: 6.67 g/cm3
* formation energy from raw total energies: 0.456 eV per atom

Unit cell a=3.4536 b=3.6876 c=7.1128 alpha=90.00 beta=90.00 gamma=90.00
Sites, in units of the cell vectors:
Be  0.0000  0.0000  0.0000
Au  0.5000  0.5000  0.0000
Se  0.0000  0.5000  0.5000
Se  0.5000  0.0000  0.5000


Record 5
BeAu3Se | GGA-PBE | optimized geometry

* polymorph energy (0 for the lowest one): 0 meV/atom
* ρ: 12.20 g/cm3
* formation energy from raw total energies: 0.367 eV per atom

Unit cell a=4.5212 b=4.5212 c=4.5212 alpha=90.00 beta=90.00 gamma=90.00
Sites, in units of the cell vectors:
Be  0.0000  0.0000  0.0000
Au  0.0000  0.0000  0.5000
Au  0.0000  0.5000  0.0000
Au  0.5000  0.0000  0.0000
Se  0.5000  0.5000  0.5000


Record 6
BeAuSe2 | GGA-PBE | optimized geometry

* polymorph energy (0 for the lowest one): 213 meV/atom
* ρ: 7.23 g/cm3
* formation energy from raw total energies: -0.057 eV per atom

Unit cell a=6.4510 b=6.4510 c=4.0597 alpha=108.21 beta=108.21 gamma=31.54
Sites, in units of the cell vectors:
Be  0.0000  0.0000  0.0000
Au  0.5000  0.5000  0.5000
Se  0.3590  0.3590  0.8610
Se  0.6410  0.6410  0.1390


Record 7
BeAuSe3 | GGA-PBE | optimized geometry

* polymorph energy (0 for the lowest one): 0 meV/atom
* ρ: 7.56 g/cm3
* formation energy from raw total energies: 0.479 eV per atom

Unit cell a=4.5999 b=4.5999 c=4.5999 alpha=90.00 beta=90.00 gamma=90.00
Sites, in units of the cell vectors:
Be  0.0000  0.0000  0.0000
Au  0.5000  0.5000  0.5000
Se  0.0000  0.0000  0.5000
Se  0.0000  0.5000  0.0000
Se  0.5000  0.0000  0.0000


Record 8
BeAuSe2 | GGA-PBE | optimized geometry

* polymorph energy (0 for the lowest one): 879 meV/atom
* ρ: 8.35 g/cm3
* formation energy from raw total energies: 0.609 eV per atom

Unit cell a=4.6776 b=4.6776 c=4.6776 alpha=60.00 beta=60.00 gamma=60.00
Sites, in units of the cell vectors:
Be  0.0000  0.0000  0.0000
Au  0.5000  0.5000  0.5000
Se  0.2500  0.2500  0.2500
Se  0.7500  0.7500  0.7500


Record 9
Be2SnAuSe | GGA-PBE | optimized geometry

* ρ: 6.17 g/cm3
* formation energy from raw total energies: 0.842 eV per atom

Unit cell a=4.5371 b=4.5371 c=5.3971 alpha=90.00 beta=90.00 gamma=90.00
Sites, in units of the cell vectors:
Be  0.0000  0.5000  0.0000
Be  0.5000  0.0000  0.0000
Sn  0.0000  0.0000  0.0000
Au  0.0000  0.0000  0.5000
Se  0.5000  0.5000  0.5000


Record 10
SrBeAu2Se | GGA-PBE | optimized geometry

* ρ: 6.30 g/cm3
* formation energy from raw total energies: 0.337 eV per atom

Unit cell a=5.0978 b=5.0978 c=5.7720 alpha=90.00 beta=90.00 gamma=90.00
Sites, in units of the cell vectors:
Sr  0.0000  0.0000  0.0000
Be  0.5000  0.5000  0.0000
Au  0.0000  0.5000  0.5000
Au  0.5000  0.0000  0.5000
Se  0.0000  0.0000  0.5000


Record 11
BeVAuSe2 | GGA-PBE | optimized geometry

* ρ: 7.45 g/cm3
* formation energy from raw total energies: 0.553 eV per atom

Unit cell a=4.5638 b=4.5638 c=4.4384 alpha=90.00 beta=90.00 gamma=90.00
Sites, in units of the cell vectors:
Be  0.0000  0.0000  0.0000
V  0.5000  0.5000  0.5000
Au  0.0000  0.0000  0.5000
Se  0.0000  0.5000  0.0000
Se  0.5000  0.0000  0.0000


Record 12
BeW2AuSe | GGA-PBE | optimized geometry

* ρ: 12.40 g/cm3
* formation energy from raw total energies: 1.389 eV per atom

Unit cell a=4.6861 b=4.6861 c=3.9792 alpha=90.00 beta=90.00 gamma=90.00
Sites, in units of the cell vectors:
Be  0.0000  0.0000  0.0000
W  0.0000  0.5000  0.5000
W  0.5000  0.0000  0.5000
Au  0.5000  0.5000  0.0000
Se  0.0000  0.0000  0.5000


Record 13
Zr2BeAuSe | GGA-PBE | optimized geometry

* ρ: 5.69 g/cm3
* formation energy from raw total energies: 1.079 eV per atom

Unit cell a=5.1957 b=5.1957 c=5.0517 alpha=90.00 beta=90.00 gamma=90.00
Sites, in units of the cell vectors:
Zr  0.0000  0.5000  0.0000
Zr  0.5000  0.0000  0.0000
Be  0.0000  0.0000  0.5000
Au  0.5000  0.5000  0.0000
Se  0.5000  0.5000  0.5000


Record 14
BeSiAu3 | GGA-PBE | optimized geometry

* ρ: 11.66 g/cm3
* formation energy from raw total energies: 0.365 eV per atom

Unit cell a=4.4725 b=4.4725 c=4.4725 alpha=90.00 beta=90.00 gamma=90.00
Sites, in units of the cell vectors:
Be  0.0000  0.0000  0.0000
Si  0.5000  0.5000  0.5000
Au  0.0000  0.0000  0.5000
Au  0.0000  0.5000  0.0000
Au  0.5000  0.0000  0.0000


Record 15
BeSi4Au | GGA-PBE | optimized geometry

* ρ: 5.73 g/cm3
* formation energy from raw total energies: 0.680 eV per atom

Unit cell a=5.0710 b=5.0710 c=5.0710 alpha=60.00 beta=60.00 gamma=60.00
Sites, in units of the cell vectors:
Be  0.0000  0.0000  0.0000
Si  0.1223  0.6259  0.6259
Si  0.6259  0.1223  0.6259
Si  0.6259  0.6259  0.1223
Si  0.6259  0.6259  0.6259
Au  0.2500  0.2500  0.2500